VASP calculation (PBE) on an optimized crystal structure of YPa2OsC4.

It has space group Cmcm (No. 63), with a = 3.550 Å, b = 11.758 Å, c = 12.063 Å, α = 90.00°, β = 90.00° and γ = 90.00°. Symmetry generates all atoms from Y at (0.000, 0.117, 0.250), Pa at (0.000, 0.367, 0.042), Os at (0.000, 0.147, 0.750), C at (0.000, 0.000, 0.000), C at (0.000, 0.264, 0.628) and C at (0.000, 0.434, 0.250).

The total moment comes out at 0.00 μB per cell. As for the energy of formation: -0.14 eV per atom. As for the crystal system: orthorhombic.